[1]
TcAg2H after structural relaxation. Source: Alexandria via LeMat-Bulk, functional PBE.

Calculated values
Relative energy among the computed polymorphs ... 0.361 eV per atom
D(E_F) ... 3.4 states/eV/cell
SG ... Fm-3m (225)

The structure in POSCAR format:
```
TcAg2H
1.0
0.000 3.150 3.150
3.150 0.000 3.150
3.150 3.150 0.000
Tc Ag H
1 2 1
Cartesian
0.000 0.000 0.000
1.575 1.575 1.575
4.725 4.725 4.725
3.150 3.150 3.150
```


[2]
Y2TcAgH after structural relaxation. Source: Alexandria via LeMat-Bulk, functional PBE.

Calculated values
E ... -6.149 eV/atom
D(E_F) ... 1.7 states/eV/cell
SG ... P4/mmm (123)

The structure in POSCAR format:
```
Y2TcAgH
1.0
5.028 0.000 0.000
0.000 5.028 0.000
0.000 0.000 3.598
Y Tc Ag H
2 1 1 1
Cartesian
0.000 2.514 0.000
2.514 0.000 0.000
0.000 0.000 1.799
2.514 2.514 1.799
0.000 0.000 0.000
```


[3]
YTcAgH2 after structural relaxation. Source: Alexandria via LeMat-Bulk, functional PBE.

Calculated values
E ... -4.845 eV/atom
D(E_F) ... 3.2 states/eV/cell
SG ... P4/mmm (123)

The structure in POSCAR format:
```
YTcAgH2
1.0
3.892 0.000 0.000
0.000 3.892 0.000
0.000 0.000 5.095
Y Tc Ag H
1 1 1 2
Cartesian
0.000 0.000 0.000
1.946 1.946 2.547
1.946 1.946 0.000
0.000 1.946 2.547
1.946 0.000 2.547
```


[4]
AgTe2H2 after structural relaxation. Source: Alexandria via LeMat-Bulk, functional PBE.

Calculated values
Relative energy among the computed polymorphs ... 0.135 eV per atom
D(E_F) ... 2.7 states/eV/cell
SG ... P4/mbm (127)

The structure in POSCAR format:
```
AgTe2H2
1.0
7.961 0.000 0.000
0.000 7.961 0.000
0.000 0.000 3.560
Ag Te H
2 4 4
Cartesian
0.000 0.000 0.000
3.980 3.980 0.000
1.558 2.422 0.000
2.422 6.402 0.000
5.538 1.558 0.000
6.402 5.538 0.000
1.020 2.960 1.780
2.960 6.940 1.780
5.001 1.020 1.780
6.940 5.001 1.780
```


[5]
Ag2TeH after structural relaxation. Source: Alexandria via LeMat-Bulk, functional PBE.

Calculated values
Relative energy among the computed polymorphs ... 0.101 eV per atom
D(E_F) ... 2.2 states/eV/cell
SG ... R-3m (166)

The structure in POSCAR format:
```
Ag2TeH
1.0
2.299 1.327 5.487
-2.299 1.327 5.487
0.000 -2.654 5.487
Ag Te H
2 1 1
Cartesian
0.000 0.000 1.751
0.000 0.000 14.709
0.000 0.000 8.230
0.000 0.000 0.000
```


[6]
AgTe2H2 after structural relaxation. Source: Alexandria via LeMat-Bulk, functional PBE.

Calculated values
Relative energy among the computed polymorphs ... 0.394 eV per atom
D(E_F) ... 1.9 states/eV/cell
SG ... I4/mmm (139)

The structure in POSCAR format:
```
AgTe2H2
1.0
-1.742 1.742 6.964
1.742 -1.742 6.964
1.742 1.742 -6.964
Ag Te H
1 2 2
Cartesian
0.000 0.000 0.000
0.000 0.000 4.986
0.000 0.000 8.941
1.742 0.000 3.482
0.000 1.742 3.482
```